# PmPr14Nd, relaxed, DFT PBE
# * electronic total energy: -4.77 eV per atom
data_PmPr14Nd
_space_group_name_H-M_alt 'P 1'
_space_group_IT_number 1
_cell_length_a 7.4057
_cell_length_b 7.4057
_cell_length_c 10.5123
_cell_angle_alpha 90.00
_cell_angle_beta 90.00
_cell_angle_gamma 90.00
loop_
_space_group_symop_operation_xyz
'x,y,z'
loop_
_atom_site_label
_atom_site_type_symbol
_atom_site_fract_x
_atom_site_fract_y
_atom_site_fract_z
_atom_site_occupancy
Pm1 Pm 0.0000 0.0000 0.0000 1
Pr1 Pr 0.0000 0.0000 0.5000 1
Pr2 Pr 0.0000 0.5000 0.0000 1
Pr3 Pr 0.0000 0.5000 0.5000 1
Pr4 Pr 0.2497 0.2497 0.2492 1
Pr5 Pr 0.2497 0.2497 0.7508 1
Pr6 Pr 0.2497 0.7503 0.2492 1
Pr7 Pr 0.2497 0.7503 0.7508 1
Pr8 Pr 0.5000 0.0000 0.0000 1
Pr9 Pr 0.5000 0.0000 0.5000 1
Pr10 Pr 0.5000 0.5000 0.5000 1
Pr11 Pr 0.7503 0.2497 0.2492 1
Pr12 Pr 0.7503 0.2497 0.7508 1
Pr13 Pr 0.7503 0.7503 0.2492 1
Pr14 Pr 0.7503 0.7503 0.7508 1
Nd1 Nd 0.5000 0.5000 0.0000 1

# La6PrSm2Er, relaxed, DFT PBE
# * electronic total energy: -4.65 eV per atom
data_La6PrSm2Er
_space_group_name_H-M_alt 'P 1'
_space_group_IT_number 1
_cell_length_a 6.7659
_cell_length_b 6.7659
_cell_length_c 9.1214
_cell_angle_alpha 103.35
_cell_angle_beta 103.35
_cell_angle_gamma 64.04
loop_
_space_group_symop_operation_xyz
'x,y,z'
loop_
_atom_site_label
_atom_site_type_symbol
_atom_site_fract_x
_atom_site_fract_y
_atom_site_fract_z
_atom_site_occupancy
La1 La 0.0859 0.5444 0.2053 1
La2 La 0.1287 0.1287 0.4240 1
La3 La 0.4556 0.9141 0.7947 1
La4 La 0.5444 0.0859 0.2053 1
La5 La 0.8713 0.8713 0.5760 1
La6 La 0.9141 0.4556 0.7947 1
Pr1 Pr 0.0000 0.0000 0.0000 1
Sm1 Sm 0.4158 0.4158 0.8294 1
Sm2 Sm 0.5842 0.5842 0.1706 1
Er1 Er 0.5000 0.5000 0.5000 1

Copy entry 1 word for word.
# PmPr14Nd, relaxed, DFT PBE
# * electronic total energy: -4.77 eV per atom
data_PmPr14Nd
_space_group_name_H-M_alt 'P 1'
_space_group_IT_number 1
_cell_length_a 7.4057
_cell_length_b 7.4057
_cell_length_c 10.5123
_cell_angle_alpha 90.00
_cell_angle_beta 90.00
_cell_angle_gamma 90.00
loop_
_space_group_symop_operation_xyz
'x,y,z'
loop_
_atom_site_label
_atom_site_type_symbol
_atom_site_fract_x
_atom_site_fract_y
_atom_site_fract_z
_atom_site_occupancy
Pm1 Pm 0.0000 0.0000 0.0000 1
Pr1 Pr 0.0000 0.0000 0.5000 1
Pr2 Pr 0.0000 0.5000 0.0000 1
Pr3 Pr 0.0000 0.5000 0.5000 1
Pr4 Pr 0.2497 0.2497 0.2492 1
Pr5 Pr 0.2497 0.2497 0.7508 1
Pr6 Pr 0.2497 0.7503 0.2492 1
Pr7 Pr 0.2497 0.7503 0.7508 1
Pr8 Pr 0.5000 0.0000 0.0000 1
Pr9 Pr 0.5000 0.0000 0.5000 1
Pr10 Pr 0.5000 0.5000 0.5000 1
Pr11 Pr 0.7503 0.2497 0.2492 1
Pr12 Pr 0.7503 0.2497 0.7508 1
Pr13 Pr 0.7503 0.7503 0.2492 1
Pr14 Pr 0.7503 0.7503 0.7508 1
Nd1 Nd 0.5000 0.5000 0.0000 1

Q: Number 1 is which compound?
A: PmPr14Nd

Q: electronic total energy of number 2 (La6PrSm2Er)?
A: -4.65 eV per atom